1.
Tb2Tc2Ge2C | PBE | relaxed

Cell: 11.014 4.023 7.035 Å, 90.00 126.06 90.00°
Fractional positions:
Tb 0.067 0.000 0.292
Tb 0.433 0.500 0.708
Tb 0.567 0.500 0.292
Tb 0.933 0.000 0.708
Tc 0.202 0.500 0.085
Tc 0.298 0.000 0.915
Tc 0.702 0.000 0.085
Tc 0.798 0.500 0.915
Ge 0.147 0.500 0.681
Ge 0.353 0.000 0.319
Ge 0.647 0.000 0.681
Ge 0.853 0.500 0.319
C 0.000 0.500 0.000
C 0.500 0.000 0.000

Output
Symmetry: C2/m
V: 252.0 Å³ per cell
Energy relative to the elements: -0.603 eV per atom
Size of the total moment: 0.000 μB/f.u.

=====

2.
PuSc2O6 | PBE | relaxed

Cell: 4.915 4.915 9.746 Å, 90.00 90.00 90.00°
Fractional positions:
Pu 0.000 0.000 0.000
Pu 0.500 0.500 0.500
Sc 0.000 0.000 0.337
Sc 0.000 0.000 0.663
Sc 0.500 0.500 0.163
Sc 0.500 0.500 0.837
O 0.190 0.190 0.162
O 0.190 0.190 0.838
O 0.195 0.195 0.500
O 0.305 0.695 0.000
O 0.310 0.690 0.338
O 0.310 0.690 0.662
O 0.690 0.310 0.338
O 0.690 0.310 0.662
O 0.695 0.305 0.000
O 0.805 0.805 0.500
O 0.810 0.810 0.162
O 0.810 0.810 0.838

Output
Symmetry: P4_2/mnm
Energy: -9.37 eV per atom
V: 235.5 Å³ per cell
Size of the total moment: 2.000 μB/f.u.

=====

3.
SrSnPb6 | PBE | relaxed

Cell: 5.932 5.932 7.265 Å, 90.00 90.00 90.00°
Fractional positions:
Sr 0.000 0.000 0.000
Sn 0.000 0.000 0.500
Pb 0.000 0.500 0.274
Pb 0.000 0.500 0.726
Pb 0.500 0.000 0.274
Pb 0.500 0.000 0.726
Pb 0.500 0.500 0.000
Pb 0.500 0.500 0.500

Output
Symmetry: P4/mmm
V: 255.7 Å³ per cell
Energy relative to the elements: -0.122 eV per atom
Size of the total moment: 0.000 μB/f.u.

=====

4.
CdSi2Os | PBE | relaxed

Cell: 3.084 4.213 4.926 Å, 90.00 90.00 90.00°
Fractional positions:
Cd 0.000 0.000 0.000
Si 0.000 0.500 0.500
Si 0.500 0.500 0.000
Os 0.500 0.000 0.500

Output
Symmetry: Pmmm
Energy: -5.13 eV per atom
V: 64.0 Å³ per cell
Size of the total moment: 0.000 μB/f.u.

=====

5.
NaEr2MgSe4 | PBE | relaxed

Cell: 5.716 5.716 11.474 Å, 90.00 90.00 90.00°
Fractional positions:
Na 0.000 0.000 0.000
Na 0.500 0.500 0.500
Er 0.000 0.000 0.500
Er 0.000 0.500 0.250
Er 0.500 0.000 0.750
Er 0.500 0.500 0.000
Mg 0.000 0.500 0.750
Mg 0.500 0.000 0.250
Se 0.000 0.000 0.253
Se 0.000 0.000 0.747
Se 0.000 0.500 0.504
Se 0.000 0.500 0.996
Se 0.500 0.000 0.004
Se 0.500 0.000 0.496
Se 0.500 0.500 0.247
Se 0.500 0.500 0.753

Output
Symmetry: I-4m2
Energy: -4.76 eV per atom
V: 374.9 Å³ per cell
Size of the total moment: 0.000 μB/f.u.

=====

6.
Tb3Sm2Dy4 | PBE | relaxed

Cell: 10.005 10.005 6.130 Å, 94.93 94.93 70.87°
Fractional positions:
Tb 0.097 0.903 0.750
Tb 0.237 0.432 0.908
Tb 0.432 0.237 0.408
Tb 0.568 0.763 0.592
Tb 0.763 0.568 0.092
Tb 0.903 0.097 0.250
Sm 0.021 0.736 0.178
Sm 0.264 0.979 0.322
Sm 0.736 0.021 0.678
Sm 0.979 0.264 0.822
Dy 0.075 0.354 0.348
Dy 0.313 0.594 0.485
Dy 0.354 0.075 0.848
Dy 0.406 0.687 0.015
Dy 0.594 0.313 0.985
Dy 0.646 0.925 0.152
Dy 0.687 0.406 0.515
Dy 0.925 0.646 0.652

Output
Symmetry: C2/c
V: 576.5 Å³ per cell
Energy relative to the elements: 0.095 eV per atom
Size of the total moment: 0.000 μB/f.u.